Record 1
Compound: SrLiTiF6
Source: Alexandria
Functional: SCAN
Structure: PBEsol geometry

CIF file:
```
data_SrLiTiF6
_space_group_name_H-M_alt 'P 1'
_space_group_IT_number 1
_cell_length_a 5.2213
_cell_length_b 5.2213
_cell_length_c 10.4154
_cell_angle_alpha 90.00
_cell_angle_beta 90.00
_cell_angle_gamma 120.00
loop_
_space_group_symop_operation_xyz
'x,y,z'
loop_
_atom_site_label
_atom_site_type_symbol
_atom_site_fract_x
_atom_site_fract_y
_atom_site_fract_z
Sr1 Sr 0.0000 0.0000 0.0000
Sr2 Sr 0.0000 0.0000 0.5000
Li1 Li 0.3333 0.6667 0.2500
Li2 Li 0.6667 0.3333 0.7500
Ti1 Ti 0.3333 0.6667 0.7500
Ti2 Ti 0.6667 0.3333 0.2500
F1 F 0.0081 0.3688 0.6438
F2 F 0.0081 0.6393 0.8562
F3 F 0.3607 0.3688 0.8562
F4 F 0.3607 0.9919 0.6438
F5 F 0.3688 0.0081 0.1438
F6 F 0.3688 0.3607 0.3562
F7 F 0.6312 0.6393 0.6438
F8 F 0.6312 0.9919 0.8562
F9 F 0.6393 0.0081 0.3562
F10 F 0.6393 0.6312 0.1438
F11 F 0.9919 0.3607 0.1438
F12 F 0.9919 0.6312 0.3562
```

Calculated values
Formation energy without anion corrections   -3680 meV/atom
SG   P-31c, No. 163
Total DFT energy (no corrections)   -10.562 eV/atom

Record 2
Compound: Cs3Sb5O14
Source: Alexandria
Functional: SCAN
Structure: PBEsol geometry

CIF file:
```
data_Cs3Sb5O14
_space_group_name_H-M_alt 'P 1'
_space_group_IT_number 1
_cell_length_a 7.2933
_cell_length_b 25.0600
_cell_length_c 7.4603
_cell_angle_alpha 90.00
_cell_angle_beta 90.00
_cell_angle_gamma 90.00
loop_
_space_group_symop_operation_xyz
'x,y,z'
loop_
_atom_site_label
_atom_site_type_symbol
_atom_site_fract_x
_atom_site_fract_y
_atom_site_fract_z
Cs1 Cs 0.1083 0.2095 0.0000
Cs2 Cs 0.1102 0.1149 0.5000
Cs3 Cs 0.2344 0.4857 0.5000
Cs4 Cs 0.2656 0.9857 0.5000
Cs5 Cs 0.3898 0.6149 0.5000
Cs6 Cs 0.3917 0.7095 0.0000
Cs7 Cs 0.6083 0.2905 0.0000
Cs8 Cs 0.6102 0.3851 0.5000
Cs9 Cs 0.7344 0.0143 0.5000
Cs10 Cs 0.7656 0.5143 0.5000
Cs11 Cs 0.8898 0.8851 0.5000
Cs12 Cs 0.8917 0.7905 0.0000
Sb1 Sb 0.0836 0.9442 0.0000
Sb2 Sb 0.0905 0.5625 0.0000
Sb3 Sb 0.1158 0.3536 0.2621
Sb4 Sb 0.1158 0.3536 0.7379
Sb5 Sb 0.1565 0.7459 0.5000
Sb6 Sb 0.3435 0.2459 0.5000
Sb7 Sb 0.3842 0.8536 0.2621
Sb8 Sb 0.3842 0.8536 0.7379
Sb9 Sb 0.4095 0.0625 0.0000
Sb10 Sb 0.4164 0.4442 0.0000
Sb11 Sb 0.5836 0.5558 0.0000
Sb12 Sb 0.5905 0.9375 0.0000
Sb13 Sb 0.6158 0.1464 0.2621
Sb14 Sb 0.6158 0.1464 0.7379
Sb15 Sb 0.6565 0.7541 0.5000
Sb16 Sb 0.8435 0.2541 0.5000
Sb17 Sb 0.8842 0.6464 0.2621
Sb18 Sb 0.8842 0.6464 0.7379
Sb19 Sb 0.9095 0.4375 0.0000
Sb20 Sb 0.9164 0.0558 0.0000
O1 O 0.0000 0.0000 0.1763
O2 O 0.0000 0.0000 0.8237
O3 O 0.0341 0.3555 0.0000
O4 O 0.0437 0.5774 0.2515
O5 O 0.0437 0.5774 0.7485
O6 O 0.0874 0.2216 0.5000
O7 O 0.1045 0.6897 0.3124
O8 O 0.1045 0.6897 0.6876
O9 O 0.1588 0.4834 0.0000
O10 O 0.1613 0.0908 0.0000
O11 O 0.1650 0.8983 0.1955
O12 O 0.1650 0.8983 0.8045
O13 O 0.1722 0.3793 0.5000
O14 O 0.2150 0.7927 0.2833
O15 O 0.2150 0.7927 0.7167
O16 O 0.2850 0.2927 0.2833
O17 O 0.2850 0.2927 0.7167
O18 O 0.3278 0.8793 0.5000
O19 O 0.3350 0.3983 0.1955
O20 O 0.3350 0.3983 0.8045
O21 O 0.3387 0.5908 0.0000
O22 O 0.3412 0.9834 0.0000
O23 O 0.3955 0.1897 0.3124
O24 O 0.3955 0.1897 0.6876
O25 O 0.4126 0.7216 0.5000
O26 O 0.4563 0.0774 0.2515
O27 O 0.4563 0.0774 0.7485
O28 O 0.4659 0.8555 0.0000
O29 O 0.5000 0.5000 0.1763
O30 O 0.5000 0.5000 0.8237
O31 O 0.5341 0.1445 0.0000
O32 O 0.5437 0.9226 0.2515
O33 O 0.5437 0.9226 0.7485
O34 O 0.5874 0.2784 0.5000
O35 O 0.6045 0.8103 0.3124
O36 O 0.6045 0.8103 0.6876
O37 O 0.6588 0.0166 0.0000
O38 O 0.6613 0.4092 0.0000
O39 O 0.6650 0.6017 0.1955
O40 O 0.6650 0.6017 0.8045
O41 O 0.6722 0.1207 0.5000
O42 O 0.7150 0.7073 0.2833
O43 O 0.7150 0.7073 0.7167
O44 O 0.7850 0.2073 0.2833
O45 O 0.7850 0.2073 0.7167
O46 O 0.8278 0.6207 0.5000
O47 O 0.8350 0.1017 0.1955
O48 O 0.8350 0.1017 0.8045
O49 O 0.8387 0.9092 0.0000
O50 O 0.8412 0.5166 0.0000
O51 O 0.8955 0.3103 0.3124
O52 O 0.8955 0.3103 0.6876
O53 O 0.9126 0.7784 0.5000
O54 O 0.9563 0.4226 0.2515
O55 O 0.9563 0.4226 0.7485
O56 O 0.9659 0.6445 0.0000
```

Calculated values
DOS at the Fermi energy   0.00 states/eV/f.u.
Formation energy without anion corrections   -1685 meV/atom
SG   Pbam, No. 55
Total DFT energy (no corrections)   -19.275 eV/atom